Density functional theory data (GGA-PBE) for a geometry-optimized VTcMo14 structure.

ΔE_f	-0.03	eV/atom

abc: 6.3011 8.8973 8.9286
angles: 90.00 90.00 90.00
Closest atoms and distances in Å follow each position.
Space group Cmmm (No. 65)
One atom of each set of equivalent atoms:
V: 0.0000 0.0000 0.0000 x2  8 Mo 2.71-2.73
Tc: 0.0000 0.5000 0.0000 x2  8 Mo 2.72-2.73
Mo: 0.0000 0.0000 0.5000 x2  8 Mo 2.73-2.74
Mo: 0.0000 0.2495 0.2473 x8  8 Mo 2.71-2.75
Mo: 0.0000 0.5000 0.5000 x2  8 Mo 2.73-2.75
Mo: 0.2481 0.0000 0.2479 x8  1 V 2.71, 6 Mo 2.72-2.75, 1 Tc 2.72
Mo: 0.2500 0.2500 0.0000 x4  4 Mo 2.71, 2 Tc 2.73, 2 V 2.73
Mo: 0.2500 0.2500 0.5000 x4  8 Mo 2.73-2.75

***

Density functional theory data (GGA-PBE) for a geometry-optimized V4TcMo structure.

energy relative to the lowest polymorph listed for this composition	0.2246	eV/atom
ΔE_f	0.03	eV/atom

abc: 6.9671 6.9671 6.9671
angles: 90.00 90.00 90.00
Closest atoms and distances in Å follow each position.
Space group F-43m (No. 216)
One atom of each set of equivalent atoms:
V: 0.1251 0.1251 0.1251 x16  6 V 2.46-2.47
Tc: 0.0000 0.0000 0.5000 x4  12 V 2.89, 4 Mo 3.02
Mo: 0.2500 0.2500 0.7500 x4  12 V 2.89, 4 Tc 3.02

***

Density functional theory data (GGA-PBE) for a geometry-optimized V4TcMo structure.

energy relative to the lowest polymorph listed for this composition	0.0000	eV/atom
ΔE_f	-0.19	eV/atom

abc: 2.6944 4.2319 7.3524
angles: 90.00 90.03 90.00
Closest atoms and distances in Å follow each position.
Space group P2/m (No. 10)
One atom of each set of equivalent atoms:
V: 0.1730 0.0000 0.1638 x2  5 V 2.58-2.69, 2 Tc 2.59, 1 Mo 2.62
V: 0.1788 0.5000 0.6703 x2  1 Tc 2.57, 2 Mo 2.61, 5 V 2.62-2.69
Tc: 0.5000 0.5000 0.0000 x1  6 V 2.57-2.59, 2 Tc 2.69
Mo: 0.5000 0.0000 0.5000 x1  6 V 2.61-2.62, 2 Mo 2.69

***

The records above give, respectively, DFT total energy values of -171.6 -57.5 -58.8 eV/f.u..
The records above give, respectively, total moment values of 0.00 0.00 0.00 μB per formula unit.